Record 1
The following is a DFT calculation (PBE) of a relaxed CuSn2IBr crystal.

a = 5.2735 Å, b = 5.2735 Å, c = 5.3039 Å
α = 90.00°, β = 90.00°, γ = 90.00°
Element x y z (fractional)
Cu1 0.0000 0.0000 0.0000
Sn1 0.0000 0.5000 0.0000
Sn2 0.5000 0.0000 0.0000
I1 0.0000 0.0000 0.5000
Br1 0.5000 0.5000 0.5000

Results
Fermi-level density of states: 2.68 states/eV per cell
Formation energy (no corrections): 0.060 eV/atom
VASP energy: -15.03 eV for the cell shown
Total magnetization: 0.00 Bohr magnetons per cell



Record 2
The following is a DFT calculation (PBE) of a relaxed BaSiAu4 crystal.

a = 5.7464 Å, b = 5.7464 Å, c = 5.7464 Å
α = 60.00°, β = 60.00°, γ = 60.00°
Element x y z (fractional)
Ba1 0.0000 0.0000 0.0000
Si1 0.7500 0.7500 0.7500
Au1 0.3757 0.3757 0.3757
Au2 0.3757 0.3757 0.8730
Au3 0.3757 0.8730 0.3757
Au4 0.8730 0.3757 0.3757

Results
Fermi-level density of states: 2.29 states/eV per cell
Formation energy (no corrections): -0.116 eV/atom
VASP energy: -21.15 eV for the cell shown
Total magnetization: 0.00 Bohr magnetons per cell



Record 3
The following is a DFT calculation (PBE) of a relaxed Zr2ZnIn crystal.

a = 6.2271 Å, b = 6.2271 Å, c = 6.2271 Å
α = 102.37°, β = 102.37°, γ = 124.85°
Element x y z (fractional)
Zr1 0.1092 0.6250 0.9842
Zr2 0.3750 0.3592 0.4842
Zr3 0.6408 0.1250 0.0158
Zr4 0.8750 0.8908 0.5158
Zn1 0.0000 0.0000 0.0000
Zn2 0.7500 0.2500 0.5000
In1 0.2500 0.7500 0.5000
In2 0.5000 0.5000 0.0000

Results
Fermi-level density of states: 5.59 states/eV per cell
VASP energy: -41.62 eV for the cell shown
Formation energy: 0.074 eV per atom
Total magnetization: 0.00 Bohr magnetons per cell